# 1
A plane-wave DFT calculation with PBE was carried out for an optimized crystal structure of KTePd.

a = 5.148 Å, b = 5.148 Å, c = 5.148 Å
α = 60.00°, β = 60.00°, γ = 60.00°
Element x y z (fractional)
K1 0.000 0.000 0.000
Te1 0.250 0.250 0.250
Pd1 0.750 0.750 0.750

Output
Final energy: -8.361 eV/cell
Density: 4.702 g/cm³

---

# 2
A plane-wave DFT calculation with PBE was carried out for an optimized crystal structure of K2Te3Pd2.

a = 8.102 Å, b = 8.102 Å, c = 8.102 Å
α = 109.47°, β = 109.47°, γ = 109.47°
Element x y z (fractional)
K1 0.000 0.308 0.500
K2 0.192 0.192 0.192
K3 0.308 0.500 0.000
K4 0.500 0.000 0.308
Te1 0.081 0.750 0.831
Te2 0.250 0.669 0.419
Te3 0.419 0.250 0.669
Te4 0.669 0.419 0.250
Te5 0.750 0.831 0.081
Te6 0.831 0.081 0.750
Pd1 0.000 0.789 0.500
Pd2 0.500 0.000 0.789
Pd3 0.711 0.711 0.711
Pd4 0.789 0.500 0.000

Output
Final energy: -48.493 eV/cell
Density: 5.467 g/cm³
Polymorph energy (0 for the lowest one): 0 meV per atom